DFT (GGA-PBE) results for Li2Nd2In3 after structural relaxation.

Lattice parameters (Å, degrees): 4.6083 20.5243 7.6364 90.00 90.00 90.00
Last column: nearest neighbours and their distance in Å.
Space group Cmcm (No. 63)
Unique sites:
Li 0.0000 0.1912 0.0598 (multiplicity 8)  4 In 2.74-2.96, 1 Li 2.90
Nd 0.0000 0.3424 0.2500 (multiplicity 4)  6 In 3.31-3.38, 6 Li 3.37-3.43
Nd 0.0000 0.4493 0.7500 (multiplicity 4)  9 In 3.32-3.61
In 0.0000 0.0654 0.5609 (multiplicity 8)  1 Li 2.74, 2 In 2.84-2.89
In 0.0000 0.2778 0.7500 (multiplicity 4)  6 Li 2.80-2.96

Results
Energy of formation from the pure elements = -0.339 eV/atom
Crystal system = orthorhombic
Electronic total energy = -95.816 eV/cell
DOS(E_F) = 35.78 states/eV per cell